Below is a geometry-optimized BaVNF2 structure, with properties calculated at the GGA+U level.

Lattice parameters (Å, degrees): 4.8567 4.8567 4.9426 90.00 90.00 90.00
Space group P4/mmm (No. 123)
Inequivalent atoms, fractional coordinates:
1 Ba 0.0000 0.0000 0.0000
2 V 0.5000 0.5000 0.5000
3 N 0.0000 0.0000 0.5000
4 F 0.0000 0.5000 0.0000

* total DFT energy (no corrections): -4.8470 eV/atom